Entry 1:
First-principles (PBE-GGA) data for a relaxed structure of CaTeCl2, as listed in Alexandria.

Cell: 3.336 3.336 11.974 Å, 90.00 90.00 89.94°
Fractional positions:
1 Ca 0.500 0.500 0.750
2 Te 0.500 0.500 0.250
3 Cl 0.000 0.000 0.882
4 Cl 0.000 0.000 0.618

Results
excess energy over the best structure of this formula in the dataset = 0.0 meV per atom
space-group type = P4/mmm (123)
Fermi-level density of states = 1.0 states/eV per cell
M_tot = 0.000 μB per atom
uncorrected formation energy = -5.83 eV/f.u.

Entry 2:
First-principles (PBE-GGA) data for a relaxed structure of Mg2ScFeC, as listed in Alexandria.

Cell: 4.468 3.817 4.468 Å, 90.00 90.00 90.00°
Fractional positions:
1 Sc 0.500 0.500 0.500
2 C 0.000 0.000 0.000
3 Mg 0.000 0.000 0.500
4 Mg 0.500 0.000 0.000
5 Fe 0.000 0.500 0.000

Results
space-group type = P4/mmm (123)
Fermi-level density of states = 4.2 states/eV per cell
M_tot = 0.000 μB per atom
energy of formation from the pure elements = 0.28 eV per atom

Entry 3:
First-principles (PBE-GGA) data for a relaxed structure of La2Fe2Rh, as listed in Alexandria.

Cell: 7.931 7.931 3.633 Å, 90.00 90.00 90.00°
Each line ends with the local moment (μB).
Fractional positions:
1 Rh 0.000 0.000 0.000  0.21
2 Rh 0.500 0.500 0.000  0.21
3 Fe 0.097 0.597 0.500  2.38
4 Fe 0.597 0.903 0.500  2.39
5 Fe 0.903 0.403 0.500  2.39
6 Fe 0.403 0.097 0.500  2.39
7 La 0.307 0.807 0.000  -0.10
8 La 0.807 0.693 0.000  -0.10
9 La 0.693 0.193 0.000  -0.10
10 La 0.193 0.307 0.000  -0.10

Results
excess energy over the best structure of this formula in the dataset = 380.6 meV per atom
space-group type = P4/mbm (127)
Fermi-level density of states = 12.0 states/eV per cell
M_tot = 0.969 μB per atom
energy of formation from the pure elements = 0.34 eV per atom

Entry 4:
First-principles (PBE-GGA) data for a relaxed structure of CsMg2AsN, as listed in Alexandria.

Cell: 4.522 5.795 4.522 Å, 90.00 90.00 90.00°
Fractional positions:
1 Cs 0.500 0.500 0.500
2 As 0.000 0.500 0.000
3 Mg 0.000 0.000 0.500
4 Mg 0.500 0.000 0.000
5 N 0.000 0.000 0.000

Results
space-group type = P4/mmm (123)
Fermi-level density of states = 4.4 states/eV per cell
M_tot = 0.000 μB per atom
uncorrected formation energy = 1.95 eV/f.u.

Entry 5:
First-principles (PBE-GGA) data for a relaxed structure of Pu2SBr, as listed in Alexandria.

Cell: 4.013 4.013 7.303 Å, 74.05 74.05 60.00°
Each line ends with the local moment (μB).
Fractional positions:
1 S 0.000 0.000 0.000  -0.12
2 Br 0.500 0.500 0.500  -0.04
3 Pu 0.260 0.260 0.219  5.59
4 Pu 0.740 0.740 0.781  5.59

Results
excess energy over the best structure of this formula in the dataset = 0.0 meV per atom
space-group type = R-3m (166)
Fermi-level density of states = 15.4 states/eV per cell
M_tot = 2.979 μB per atom
uncorrected formation energy = -5.17 eV/f.u.

Entry 6:
First-principles (PBE-GGA) data for a relaxed structure of La2Er4Sc, as listed in Alexandria.

Cell: 6.813 6.813 13.256 Å, 104.10 104.10 121.67°
Fractional positions:
1 La 0.439 0.561 0.750
2 La 0.728 0.272 0.750
3 La 0.561 0.439 0.250
4 La 0.272 0.728 0.250
5 Er 0.227 0.182 0.455
6 Er 0.726 0.225 0.000
7 Er 0.775 0.274 0.500
8 Er 0.818 0.773 0.045
9 Er 0.182 0.227 0.955
10 Er 0.225 0.726 0.500
11 Er 0.274 0.775 0.000
12 Er 0.773 0.818 0.545
13 Sc 0.848 0.152 0.250
14 Sc 0.152 0.848 0.750

Results
excess energy over the best structure of this formula in the dataset = 0.0 meV per atom
space-group type = C2/c (15)
Fermi-level density of states = 20.4 states/eV per cell
M_tot = 0.000 μB per atom
energy of formation from the pure elements = 0.18 eV per atom

Entry 7:
First-principles (PBE-GGA) data for a relaxed structure of TmZrAlAu, as listed in Alexandria.

Cell: 4.951 4.951 4.951 Å, 60.00 60.00 60.00°
Each line ends with the local moment (μB).
Fractional positions:
1 Tm 0.250 0.250 0.250  0.24
2 Au 0.500 0.500 0.500  0.06
3 Al 0.000 0.000 0.000  -0.01
4 Zr 0.750 0.750 0.750  0.46

Results
space-group type = F-43m (216)
Fermi-level density of states = 2.5 states/eV per cell
M_tot = 0.263 μB per atom
energy of formation from the pure elements = -0.42 eV per atom

Entry 8:
First-principles (PBE-GGA) data for a relaxed structure of LaMg2TcN4, as listed in Alexandria.

Cell: 3.341 6.177 10.920 Å, 90.00 90.00 105.69°
Fractional positions:
1 La 0.065 0.129 0.750
2 La 0.935 0.871 0.250
3 Mg 0.388 0.777 0.534
4 Mg 0.612 0.223 0.034
5 Mg 0.612 0.223 0.466
6 Mg 0.388 0.777 0.966
7 Tc 0.806 0.613 0.750
8 Tc 0.194 0.387 0.250
9 N 0.278 0.557 0.115
10 N 0.722 0.443 0.615
11 N 0.722 0.443 0.885
12 N 0.278 0.557 0.385
13 N 0.000 0.000 0.500
14 N 0.000 0.000 0.000
15 N 0.406 0.813 0.750
16 N 0.594 0.187 0.250

Results
space-group type = Cmcm (63)
Fermi-level density of states = 1.8 states/eV per cell
M_tot = 0.000 μB per atom
uncorrected formation energy = -4.67 eV/f.u.

Entry 9:
First-principles (PBE-GGA) data for a relaxed structure of Er2ThU, as listed in Alexandria.

Cell: 3.337 3.337 12.271 Å, 82.18 82.18 60.00°
Each line ends with the local moment (μB).
Fractional positions:
1 U 0.000 0.000 0.000  2.39
2 Th 0.500 0.500 0.500  0.01
3 Er 0.089 0.089 0.734  -0.03
4 Er 0.911 0.911 0.266  -0.03

Results
space-group type = R-3m (166)
Fermi-level density of states = 8.2 states/eV per cell
M_tot = 0.642 μB per atom
energy of formation from the pure elements = 0.45 eV per atom

Entry 10:
First-principles (PBE-GGA) data for a relaxed structure of Cs2KPtPb, as listed in Alexandria.

Cell: 6.903 6.903 5.332 Å, 90.00 90.00 90.00°
Fractional positions:
1 Pb 0.000 0.000 0.500
2 Cs 0.000 0.500 0.000
3 Cs 0.500 0.000 0.000
4 K 0.500 0.500 0.500
5 Pt 0.000 0.000 0.000

Results
space-group type = P4/mmm (123)
Fermi-level density of states = 4.1 states/eV per cell
M_tot = 0.000 μB per atom
energy of formation from the pure elements = -0.03 eV per atom

Entry 11:
First-principles (PBE-GGA) data for a relaxed structure of GdGePt4, as listed in Alexandria.

Cell: 5.386 5.386 5.386 Å, 60.00 60.00 60.00°
Each line ends with the local moment (μB).
Fractional positions:
1 Ge 0.000 0.000 0.000  0.00
2 Gd 0.250 0.250 0.250  6.92
3 Pt 0.625 0.625 0.124  -0.01
4 Pt 0.625 0.124 0.625  -0.01
5 Pt 0.625 0.625 0.625  -0.01
6 Pt 0.124 0.625 0.625  -0.01

Results
space-group type = F-43m (216)
Fermi-level density of states = 4.6 states/eV per cell
M_tot = 1.161 μB per atom
energy of formation from the pure elements = -0.65 eV per atom

Entry 12:
First-principles (PBE-GGA) data for a relaxed structure of Nb2GaFeH, as listed in Alexandria.

Cell: 4.132 4.132 3.803 Å, 90.00 90.00 90.00°
Each line ends with the local moment (μB).
Fractional positions:
1 H 0.000 0.000 0.000  0.00
2 Nb 0.000 0.500 0.000  -0.10
3 Nb 0.500 0.000 0.000  -0.10
4 Fe 0.000 0.000 0.500  2.11
5 Ga 0.500 0.500 0.500  -0.02

Results
space-group type = P4/mmm (123)
Fermi-level density of states = 2.5 states/eV per cell
E_tot = -7.189 eV per atom
M_tot = 0.374 μB per atom